(1)
Crystalline PrErH at its relaxed geometry. Source: Alexandria, functional GGA-PBE.

Structure (POSCAR):
```
PrErH
1.0
-2.447 0.911 -2.569
-0.694 -2.774 2.288
-2.514 3.679 3.699
H Pr Er
1 1 1
direct
0.667 0.333 0.349
0.000 0.000 0.083
0.333 0.667 0.568
```

energy relative to the lowest polymorph listed for this composition: 0 meV per atom
energy: -4.437 eV per atom
symmetry: P3m1
V: 67.28 Å³/cell


(2)
Crystalline MnPd2C at its relaxed geometry. Source: Alexandria, functional GGA-PBE.

Structure (POSCAR):
```
MnPd2C
1.0
7.369 0.000 0.000
0.000 7.369 0.000
3.684 3.684 2.063
Pd C Mn
4 2 2
direct
0.254 0.625 0.250
0.875 0.746 0.750
0.496 0.125 0.250
0.375 0.504 0.750
0.250 0.750 0.500
0.500 0.500 0.000
0.000 0.000 0.000
0.750 0.250 0.500
```

energy: -6.767 eV per atom
formation enthalpy at 0 K: 0.43 eV per atom
symmetry: I-42d
V: 112.00 Å³/cell


(3)
Crystalline DyCd2I8 at its relaxed geometry. Source: Alexandria, functional GGA-PBE.

Structure (POSCAR):
```
DyCd2I8
1.0
6.950 0.110 0.092
0.348 8.843 -1.130
0.348 0.506 8.901
I Cd Dy
8 2 1
direct
0.747 0.215 0.215
0.224 0.942 0.277
0.776 0.058 0.723
0.776 0.723 0.058
0.254 0.470 0.470
0.224 0.277 0.942
0.746 0.530 0.530
0.253 0.785 0.785
0.663 0.762 0.762
0.337 0.238 0.238
0.000 0.000 0.000
```

energy: -2.475 eV per atom
uncorrected formation energy: -0.7624 eV/atom
symmetry: C2/m
V: 550.38 Å³/cell


(4)
Crystalline Cs5Al2O6 at its relaxed geometry. Source: Alexandria, functional GGA-PBE.

Structure (POSCAR):
```
Cs5Al2O6
1.0
6.754 0.051 0.835
2.636 6.218 0.835
0.421 0.281 15.389
O Cs Al
12 10 4
direct
0.257 0.412 0.132
0.366 0.162 0.453
0.743 0.588 0.868
0.634 0.838 0.547
0.412 0.257 0.632
0.588 0.743 0.368
0.838 0.634 0.047
0.162 0.366 0.953
0.171 0.994 0.623
0.006 0.829 0.877
0.829 0.006 0.377
0.994 0.171 0.123
0.586 0.414 0.250
0.201 0.104 0.291
0.672 0.197 0.994
0.104 0.201 0.791
0.896 0.799 0.209
0.197 0.672 0.494
0.328 0.803 0.006
0.803 0.328 0.506
0.799 0.896 0.709
0.414 0.586 0.750
0.927 0.619 0.929
0.381 0.073 0.571
0.619 0.927 0.429
0.073 0.381 0.071
```

energy: -5.091 eV per atom
uncorrected formation energy: -1.8985 eV/atom
symmetry: C2/c
V: 641.10 Å³/cell


(5)
Crystalline BaSr2 at its relaxed geometry. Source: Alexandria, functional GGA-PBE.

Structure (POSCAR):
```
BaSr2
1.0
-2.066 -5.790 0.681
7.989 -2.610 2.046
-2.440 2.344 12.515
Sr Ba
8 4
direct
0.250 0.626 0.084
0.750 0.380 0.248
0.750 0.874 0.584
0.250 0.620 0.752
0.750 0.880 0.252
0.750 0.374 0.916
0.250 0.120 0.748
0.250 0.126 0.416
0.750 0.871 0.915
0.250 0.629 0.415
0.250 0.129 0.085
0.750 0.371 0.585
```

energy relative to the lowest polymorph listed for this composition: 4 meV per atom
energy: -1.755 eV per atom
formation enthalpy at 0 K: 0.01 eV per atom
symmetry: Pnma
V: 693.56 Å³/cell


(6)
Crystalline GdTmInPb at its relaxed geometry. Source: Alexandria, functional GGA-PBE.

Structure (POSCAR):
```
GdTmInPb
1.0
-5.377 0.264 -0.097
-2.871 -4.212 -1.736
-2.902 -2.902 3.487
Pb Tm Gd In
1 1 1 1
direct
0.750 0.750 0.750
0.500 0.500 0.500
0.000 0.000 0.000
0.250 0.250 0.250
```

energy: -6.654 eV per atom
formation enthalpy at 0 K: -0.40 eV per atom
symmetry: F-43m
V: 110.41 Å³/cell


(7)
Crystalline TiTlBi2 at its relaxed geometry. Source: Alexandria, functional GGA-PBE.

Structure (POSCAR):
```
TiTlBi2
1.0
3.440 0.000 0.000
0.000 3.440 0.000
0.000 0.000 9.364
Tl Bi Ti
1 2 1
direct
0.500 0.500 0.500
0.000 0.000 0.798
0.000 0.000 0.202
0.500 0.500 0.000
```

energy relative to the lowest polymorph listed for this composition: 0 meV per atom
energy: -4.530 eV per atom
formation enthalpy at 0 K: -0.02 eV per atom
symmetry: P4/mmm
V: 110.83 Å³/cell


(8)
Crystalline InCu2Os at its relaxed geometry. Source: Alexandria, functional GGA-PBE.

Structure (POSCAR):
```
InCu2Os
1.0
-3.853 -0.991 2.644
-1.540 -1.688 4.195
-0.451 4.039 2.490
Os In Cu
1 1 2
direct
0.750 0.750 0.750
0.250 0.250 0.250
0.491 0.491 0.534
0.009 0.009 0.966
```

energy: -5.174 eV per atom
formation enthalpy at 0 K: 0.37 eV per atom
symmetry: C2/m
V: 61.09 Å³/cell


The highest energy belongs to which entry? BaSr2


Which of these has the highest V? BaSr2